No. 1
Pm2BeZnPd6 PBE-GGA optimized geometry; density = 8.9 Mg/m³; ΔE_f = -0.63 eV/atom; total energy = -51.948 eV per formula unit; M_tot = 0.0 Bohr magnetons per cell; SG = P-1
1.0
5.803 0.000 0.000
2.813 5.089 0.000
2.705 1.580 6.314
Pm Be Zn Pd
2 1 1 6
direct
0.249 0.248 0.194
0.751 0.752 0.806
0.500 0.500 0.500
0.000 0.000 0.000
0.184 0.708 0.329
0.273 0.275 0.738
0.291 0.820 0.667
0.709 0.180 0.333
0.727 0.725 0.262
0.816 0.292 0.671


No. 2
CuHgCl2 PBE-GGA optimized geometry; density = 6.2 Mg/m³; E above lowest polymorph = 302 meV/atom; total energy = -8.366 eV per formula unit; M_tot = 0.6 Bohr magnetons per cell; SG = P4/mmm; formation energy without anion corrections = -0.3 eV per formula unit
1.0
3.131 0.000 0.000
0.000 3.131 0.000
0.000 0.000 9.116
Cu Hg Cl
1 1 2
direct
0.000 0.000 0.000
0.000 0.000 0.500
0.500 0.500 0.167
0.500 0.500 0.833


No. 3
HoTh3Co8 PBE-GGA optimized geometry; density = 11.9 Mg/m³; ΔE_f = -0.20 eV/atom; total energy = -86.087 eV per formula unit; M_tot = 0.0 Bohr magnetons per cell; SG = R3m
1.0
2.543 1.468 8.319
-2.543 1.468 8.319
0.000 -2.937 8.319
Ho Th Co
1 3 8
direct
0.000 0.000 0.000
0.371 0.371 0.371
0.497 0.497 0.497
0.876 0.876 0.876
0.186 0.186 0.186
0.436 0.935 0.935
0.438 0.438 0.935
0.438 0.935 0.438
0.686 0.686 0.686
0.935 0.436 0.935
0.935 0.438 0.438
0.935 0.935 0.436